(1)
Below is a crystal of Fe2S3O12 relaxed with PBEsol, with properties calculated at the SCAN level.

Values from the calculation:
Energy relative to the elements, uncorrected (eV/atom): -1.466
Magnetic moment (μB per formula unit): 2.0

```
Fe2S3O12
1.0
-7.5508 0.9822 2.2525
-5.1204 -6.0458 -0.5319
-2.5093 -3.7235 7.2083
Fe S O
4 6 24
Direct
0.1429 0.1429 0.5712
0.3483 0.3483 0.9550
0.8571 0.8571 0.4288
0.6517 0.6517 0.0450
0.4607 0.7508 0.7519
0.0366 0.4607 0.7519
0.7508 0.0366 0.7519
0.5393 0.2492 0.2481
0.9634 0.5393 0.2481
0.2492 0.9634 0.2481
0.6126 0.8026 0.5699
0.0149 0.6126 0.5699
0.8026 0.0149 0.5699
0.3874 0.1974 0.4301
0.9851 0.3874 0.4301
0.1974 0.9851 0.4301
0.4757 0.7920 0.8992
0.8332 0.4757 0.8992
0.7920 0.8332 0.8992
0.5243 0.2080 0.1008
0.1668 0.5243 0.1008
0.2080 0.1668 0.1008
0.2530 0.8830 0.7368
0.1272 0.2530 0.7368
0.8830 0.1272 0.7368
0.7470 0.1170 0.2632
0.8728 0.7470 0.2632
0.1170 0.8728 0.2632
0.4933 0.5344 0.7995
0.1729 0.4933 0.7995
0.5344 0.1729 0.7995
0.5067 0.4656 0.2005
0.8271 0.5067 0.2005
0.4656 0.8271 0.2005
```

=====

(2)
Below is a crystal of Fe2S3O12 relaxed with PBEsol, with properties calculated at the SCAN level.

Values from the calculation:
Energy relative to the elements, uncorrected (eV/atom): -1.478
Magnetic moment (μB per formula unit): 2.0

```
Fe2S3O12
1.0
8.2880 0.0000 0.0000
0.0000 7.9917 -0.0200
0.0000 7.8448 11.2217
S Fe O
12 8 48
Direct
0.2520 0.4558 0.5080
0.7520 0.5442 0.9920
0.7480 0.5442 0.4920
0.2480 0.4558 0.0080
0.3810 0.7444 0.6509
0.8810 0.2556 0.8491
0.6190 0.2556 0.3491
0.1190 0.7444 0.1509
0.1173 0.0334 0.3555
0.6173 0.9666 0.1445
0.8827 0.9666 0.6445
0.3827 0.0334 0.8555
0.4683 0.8693 0.3833
0.9683 0.1307 0.1167
0.5317 0.1307 0.6167
0.0317 0.8693 0.8833
0.0349 0.6340 0.6127
0.5349 0.3660 0.8873
0.9651 0.3660 0.3873
0.4651 0.6340 0.1127
0.1275 0.4912 0.4211
0.6275 0.5088 0.0789
0.8725 0.5088 0.5789
0.3725 0.4912 0.9211
0.1843 0.4531 0.6104
0.6843 0.5469 0.8896
0.8157 0.5469 0.3896
0.3157 0.4531 0.1104
0.3261 0.2540 0.5571
0.8261 0.7460 0.9429
0.6739 0.7460 0.4429
0.1739 0.2540 0.0571
0.3737 0.6157 0.4410
0.8737 0.3843 0.0590
0.6263 0.3843 0.5590
0.1263 0.6157 0.9410
0.4743 0.5511 0.7215
0.9743 0.4489 0.7785
0.5257 0.4489 0.2785
0.0257 0.5511 0.2215
0.4237 0.8783 0.6894
0.9237 0.1217 0.8106
0.5763 0.1217 0.3106
0.0763 0.8783 0.1894
0.4172 0.8465 0.5242
0.9172 0.1535 0.9758
0.5828 0.1535 0.4758
0.0828 0.8465 0.0242
0.2037 0.7132 0.6706
0.7037 0.2868 0.8294
0.7963 0.2868 0.3294
0.2963 0.7132 0.1706
0.0021 0.1206 0.2561
0.5021 0.8794 0.2439
0.9979 0.8794 0.7439
0.4979 0.1206 0.7561
0.0703 0.8193 0.4491
0.5703 0.1807 0.0509
0.9297 0.1807 0.5509
0.4297 0.8193 0.9491
0.1153 0.1647 0.4002
0.6153 0.8353 0.0998
0.8847 0.8353 0.5998
0.3847 0.1647 0.9002
0.2801 0.0291 0.3119
0.7801 0.9709 0.1881
0.7199 0.9709 0.6881
0.2199 0.0291 0.8119
```

=====

(3)
Below is a crystal of SrFe2S2O relaxed with PBEsol, with properties calculated at the SCAN level.

Values from the calculation:
Energy relative to the elements, uncorrected (eV/atom): -1.226
Magnetic moment (μB per formula unit): 7.3

```
SrFe2S2O
1.0
3.6550 0.0000 0.0000
0.0000 6.0002 0.0000
0.0000 0.0000 8.8151
Sr Fe S O
2 4 4 2
Direct
0.0000 0.9863 0.0000
0.5000 0.0137 0.5000
0.0000 0.3769 0.6934
0.5000 0.6231 0.1934
0.0000 0.3769 0.3066
0.5000 0.6231 0.8066
0.0000 0.7354 0.2989
0.0000 0.7354 0.7011
0.5000 0.2646 0.7989
0.5000 0.2646 0.2011
0.0000 0.2892 0.5000
0.5000 0.7108 0.0000
```

=====

(4)
Below is a crystal of Fe2SbO relaxed with PBEsol, with properties calculated at the SCAN level.

Values from the calculation:
Energy relative to the elements, uncorrected (eV/atom): 0.340
Magnetic moment (μB per formula unit): 4.8

```
Fe2SbO
1.0
-3.0040 2.8667 -0.3477
-3.6185 -0.5209 1.9995
-0.9516 2.4257 3.2517
Sb Fe O
1 2 1
Direct
0.5000 0.5000 0.5000
0.2500 0.2500 0.2500
0.7500 0.7500 0.7500
0.0000 0.0000 0.0000
```

=====

(5)
Below is a crystal of FeSbO2 relaxed with PBEsol, with properties calculated at the SCAN level.

Values from the calculation:
Energy relative to the elements, uncorrected (eV/atom): -0.666
Magnetic moment (μB per formula unit): 3.1

```
FeSbO2
1.0
3.6462 0.0000 0.0000
1.8231 3.1577 0.0000
1.8231 1.0526 5.5583
Sb Fe O
1 1 2
Direct
0.5000 0.5000 0.5000
0.0000 0.0000 0.0000
0.8919 0.8919 0.3243
0.1081 0.1081 0.6757
```

=====

(6)
Below is a crystal of FeSbO2 relaxed with PBEsol, with properties calculated at the SCAN level.

Values from the calculation:
Energy relative to the elements, uncorrected (eV/atom): -0.758
Magnetic moment (μB per formula unit): 4.0

```
FeSbO2
1.0
-3.2256 0.4773 -3.7817
-0.1166 -5.1889 2.7412
-3.8072 -0.6446 3.1660
Sb Fe O
2 2 4
Direct
0.7500 0.5000 0.7500
0.0000 0.0000 0.0000
0.2500 0.5000 0.2500
0.5000 0.0000 0.5000
0.5498 0.7500 0.3750
0.2002 0.7500 0.8750
0.8750 0.2500 0.5498
0.3750 0.2500 0.2002
```

=====

(7)
Below is a crystal of Sr2FeSbO6 relaxed with PBEsol, with properties calculated at the SCAN level.

Values from the calculation:
Energy relative to the elements, uncorrected (eV/atom): -2.390
Magnetic moment (μB per formula unit): 5.0

```
Sr2FeSbO6
1.0
5.6095 0.0000 0.0000
2.8048 4.8580 0.0000
2.8048 1.6193 4.5801
Sb Fe O Sr
1 1 6 2
Direct
0.0000 0.0000 0.0000
0.5000 0.5000 0.5000
0.7504 0.2496 0.7504
0.7504 0.7504 0.2496
0.2496 0.2496 0.7504
0.7504 0.2496 0.2496
0.2496 0.7504 0.2496
0.2496 0.7504 0.7504
0.7500 0.7500 0.7500
0.2500 0.2500 0.2500
```

=====

(8)
Below is a crystal of VFeSbO6 relaxed with PBEsol, with properties calculated at the SCAN level.

Values from the calculation:
Energy relative to the elements, uncorrected (eV/atom): -1.945
Magnetic moment (μB per formula unit): 6.0

```
VFeSbO6
1.0
-3.5414 2.7905 -0.7416
0.6150 -0.4177 -4.5084
-5.6196 -7.1594 -0.1033
V Fe Sb O
2 2 2 12
Direct
0.5000 0.5000 0.0009
0.0000 0.0000 0.5009
0.0000 0.0000 0.1681
0.5000 0.5000 0.6681
0.0000 0.0000 0.8343
0.5000 0.5000 0.3343
0.6938 0.3062 0.1597
0.3062 0.6938 0.1597
0.8062 0.8062 0.6597
0.1938 0.1938 0.6597
0.7064 0.2936 0.4997
0.2936 0.7064 0.4997
0.7936 0.7936 0.9997
0.2064 0.2064 0.9997
0.6918 0.3082 0.8390
0.3082 0.6918 0.8390
0.8082 0.8082 0.3390
0.1918 0.1918 0.3390
```

=====

(9)
Below is a crystal of FeSe2O relaxed with PBEsol, with properties calculated at the SCAN level.

Values from the calculation:
Energy relative to the elements, uncorrected (eV/atom): 0.258
Magnetic moment (μB per formula unit): 0.0

```
FeSe2O
1.0
-2.7984 -1.9939 3.7757
1.2040 -4.6996 -1.5895
4.9561 3.3662 1.9997
O Fe Se
2 2 4
Direct
0.7500 0.2500 0.5000
0.5000 0.5000 0.0000
0.2500 0.7500 0.5000
0.0000 0.0000 0.0000
0.8866 0.3750 0.2500
0.3634 0.8750 0.2500
0.6250 0.6366 0.7500
0.1250 0.1134 0.7500
```

=====

(10)
Below is a crystal of Fe2SeO relaxed with PBEsol, with properties calculated at the SCAN level.

Values from the calculation:
Energy relative to the elements, uncorrected (eV/atom): -0.466
Magnetic moment (μB per formula unit): 4.4

```
Fe2SeO
1.0
4.3239 0.0000 0.0000
0.0000 4.3239 0.0000
-2.1620 -2.1620 5.5188
O Fe Se
2 4 2
Direct
0.7500 0.2500 0.5000
0.5000 0.5000 0.0000
0.4879 0.8750 0.2500
0.7621 0.3750 0.2500
0.1250 0.2379 0.7500
0.6250 0.5121 0.7500
0.2500 0.7500 0.5000
0.0000 0.0000 0.0000
```

=====

(11)
Below is a crystal of SrFe2Se2O relaxed with PBEsol, with properties calculated at the SCAN level.

Values from the calculation:
Energy relative to the elements, uncorrected (eV/atom): -1.333
Magnetic moment (μB per formula unit): 8.0

```
SrFe2Se2O
1.0
3.7657 0.0000 0.0000
0.0000 6.5713 0.0000
0.0000 0.0000 9.4544
Sr Fe Se O
2 4 4 2
Direct
0.5000 0.4603 0.5000
0.0000 0.5397 0.0000
0.5000 0.8967 0.1816
0.0000 0.1033 0.6816
0.5000 0.8967 0.8184
0.0000 0.1033 0.3184
0.5000 0.2603 0.8062
0.5000 0.2603 0.1938
0.0000 0.7397 0.3062
0.0000 0.7397 0.6938
0.5000 0.7756 0.0000
0.0000 0.2244 0.5000
```

=====

(12)
Below is a crystal of FeSi4O10 relaxed with PBEsol, with properties calculated at the SCAN level.

Values from the calculation:
Energy relative to the elements, uncorrected (eV/atom): -2.574
Magnetic moment (μB per formula unit): 4.0

```
FeSi4O10
1.0
-5.6419 0.1447 4.6011
-2.0545 -6.5921 -2.3119
8.7535 -6.5650 10.9402
Fe Si O
4 16 40
Direct
0.5000 0.0000 0.5858
0.0000 0.5000 0.9142
0.0000 0.5000 0.4142
0.5000 0.0000 0.0858
0.1776 0.2555 0.6485
0.8224 0.7445 0.6485
0.2555 0.1776 0.8515
0.7555 0.3224 0.6485
0.2445 0.6776 0.6485
0.3224 0.7555 0.8515
0.6776 0.2445 0.8515
0.7445 0.8224 0.8515
0.3224 0.2445 0.3515
0.6776 0.7555 0.3515
0.2445 0.3224 0.1485
0.7445 0.1776 0.3515
0.2555 0.8224 0.3515
0.1776 0.7445 0.1485
0.8224 0.2555 0.1485
0.7555 0.6776 0.1485
0.2765 0.0969 0.5911
0.7235 0.9031 0.5911
0.0969 0.2765 0.9089
0.5969 0.2235 0.5911
0.4031 0.7765 0.5911
0.2235 0.5969 0.9089
0.7765 0.4031 0.9089
0.9031 0.7235 0.9089
0.2235 0.4031 0.4089
0.7765 0.5969 0.4089
0.4031 0.2235 0.0911
0.9031 0.2765 0.4089
0.0969 0.7235 0.4089
0.2765 0.9031 0.0911
0.7235 0.0969 0.0911
0.2467 0.0401 0.3732
0.5969 0.7765 0.0911
0.7467 0.5401 0.6268
0.4599 0.2533 0.8732
0.9599 0.2467 0.6268
0.0401 0.7533 0.6268
0.2467 0.9599 0.8732
0.7533 0.0401 0.8732
0.5401 0.7467 0.8732
0.7119 0.7119 0.2500
0.7881 0.2119 0.2500
0.2119 0.7881 0.2500
0.2881 0.2881 0.2500
0.7881 0.7881 0.7500
0.7119 0.2881 0.7500
0.2881 0.7119 0.7500
0.2119 0.2119 0.7500
0.9599 0.7533 0.1268
0.7467 0.4599 0.1268
0.2533 0.5401 0.1268
0.4599 0.7467 0.3732
0.5401 0.2533 0.3732
0.0401 0.2467 0.1268
0.7533 0.9599 0.3732
0.2533 0.4599 0.6268
```

=====

(13)
Below is a crystal of FeSi2O relaxed with PBEsol, with properties calculated at the SCAN level.

Values from the calculation:
Energy relative to the elements, uncorrected (eV/atom): -0.309
Magnetic moment (μB per formula unit): 0.0

```
FeSi2O
1.0
4.9600 0.0243 0.0364
-2.1945 4.4482 -0.0364
-2.1945 -1.7343 4.0963
Si Fe O
4 2 2
Direct
0.9543 0.5793 0.1250
0.0457 0.1707 0.6250
0.5457 0.3750 0.4207
0.4543 0.8750 0.8293
0.0000 0.0000 0.0000
0.5000 0.7500 0.2500
0.0000 0.5000 0.5000
0.5000 0.2500 0.7500
```

=====

(14)
Below is a crystal of FeSiO3 relaxed with PBEsol, with properties calculated at the SCAN level.

Values from the calculation:
Energy relative to the elements, uncorrected (eV/atom): -2.344
Magnetic moment (μB per formula unit): 4.0

```
FeSiO3
1.0
-4.1683 1.4418 -2.9065
-4.4432 -4.9768 0.6000
-4.2433 2.9637 4.2522
Fe Si O
4 4 12
Direct
0.2500 0.2935 0.7065
0.7500 0.7065 0.2935
0.2500 0.5756 0.4244
0.7500 0.4244 0.5756
0.2327 0.7243 0.9028
0.2673 0.0972 0.2757
0.7673 0.2757 0.0972
0.7327 0.9028 0.7243
0.9763 0.8948 0.8345
0.5237 0.1655 0.1052
0.0237 0.1052 0.1655
0.4763 0.8345 0.8948
0.1254 0.6297 0.1389
0.3746 0.8611 0.3703
0.8746 0.3703 0.8611
0.6254 0.1389 0.6297
0.8547 0.7286 0.5510
0.6453 0.4490 0.2714
0.1453 0.2714 0.4490
0.3547 0.5510 0.7286
```

=====

(15)
Below is a crystal of Fe2SiO4 relaxed with PBEsol, with properties calculated at the SCAN level.

Values from the calculation:
Energy relative to the elements, uncorrected (eV/atom): -1.915
Magnetic moment (μB per formula unit): 4.0

```
Fe2SiO4
1.0
4.9761 -0.0196 0.0000
0.0223 5.6283 0.0000
0.0000 0.0000 9.5698
Si Fe O
4 8 16
Direct
0.5696 0.7500 0.4035
0.0696 0.2500 0.0965
0.4304 0.2500 0.5965
0.9304 0.7500 0.9035
0.0000 0.0000 0.5000
0.5000 0.0000 0.0000
0.0000 0.5000 0.5000
0.5000 0.5000 0.0000
0.0033 0.7500 0.2417
0.5033 0.2500 0.2583
0.9967 0.2500 0.7583
0.4967 0.7500 0.7417
0.6910 0.7500 0.5650
0.1910 0.2500 0.9350
0.3090 0.2500 0.4350
0.8090 0.7500 0.0650
0.2575 0.7500 0.9047
0.7575 0.2500 0.5953
0.7425 0.2500 0.0953
0.2425 0.7500 0.4047
0.2809 0.0195 0.6728
0.7809 0.9805 0.8272
0.7191 0.5195 0.3272
0.2191 0.4805 0.1728
0.7191 0.9805 0.3272
0.2191 0.0195 0.1728
0.2809 0.4805 0.6728
0.7809 0.5195 0.8272
```